No. 1
SmCd3Pd4, relaxed, DFT PBE; magnetization = 0.000 μB per cell; Fermi-level density of states = 7.0 states/eV/cell; DFT total energy = -4.063 eV/atom; ΔE_f = -51.4 kJ/mol of atoms; space group = Pmma
1.0
9.539 0.000 0.000
0.000 6.554 0.000
0.000 0.000 4.814
Sm Cd Pd
2 6 8
Direct
0.000 0.000 0.000 Sm
0.500 0.000 0.000 Sm
0.000 0.500 0.000 Cd
0.250 0.000 0.471 Cd
0.250 0.500 0.449 Cd
0.500 0.500 0.000 Cd
0.750 0.000 0.529 Cd
0.750 0.500 0.551 Cd
0.000 0.264 0.500 Pd
0.000 0.736 0.500 Pd
0.250 0.266 0.945 Pd
0.250 0.734 0.945 Pd
0.500 0.264 0.500 Pd
0.500 0.736 0.500 Pd
0.750 0.266 0.055 Pd
0.750 0.734 0.055 Pd



No. 2
ReAg2Ru, relaxed, DFT PBE; magnetization = 0.896 μB per cell; Fermi-level density of states = 4.4 states/eV/cell; DFT total energy = -6.132 eV/atom; ΔE_f = 69.9 kJ/mol of atoms; space group = Cmmm; polymorph energy (0 for the lowest one) = 476 meV per atom
1.0
2.618 -4.535 0.000
2.618 4.535 0.000
0.000 0.000 2.693
Re Ag Ru
1 2 1
Direct
0.000 0.000 0.000 Re
0.000 0.500 0.500 Ag
0.500 0.000 0.500 Ag
0.500 0.500 0.000 Ru



No. 3
Co2HgSeBr, relaxed, DFT PBE; magnetization = 4.020 μB per cell; Fermi-level density of states = 6.6 states/eV/cell; DFT total energy = -2.480 eV/atom; space group = P4/mmm; ΔE_f (raw) = 1.45 eV/atom
1.0
5.092 0.000 0.000
0.000 5.092 0.000
0.000 0.000 5.122
Co Hg Se Br
2 1 1 1
Direct
0.000 0.500 0.000 Co
0.500 0.000 0.000 Co
0.000 0.000 0.000 Hg
0.500 0.500 0.500 Se
0.000 0.000 0.500 Br



No. 4
Pr2NpO6, relaxed, DFT PBE; magnetization = 1.000 μB per cell; Fermi-level density of states = 3.5 states/eV/cell; DFT total energy = -8.944 eV/atom; space group = Immm; ΔE_f (raw) = -3.14 eV/atom; polymorph energy (0 for the lowest one) = 17 meV per atom
1.0
-1.995 2.769 5.697
1.995 -2.769 5.697
1.995 2.769 -5.697
Pr Np O
2 1 6
Direct
0.163 0.163 0.000 Pr
0.837 0.837 0.000 Pr
0.500 0.500 0.000 Np
0.115 0.350 0.765 O
0.279 0.000 0.279 O
0.414 0.650 0.765 O
0.586 0.350 0.235 O
0.721 0.000 0.721 O
0.885 0.650 0.235 O



No. 5
BeNbP3, relaxed, DFT PBE; magnetization = 0.000 μB per cell; Fermi-level density of states = 4.6 states/eV/cell; DFT total energy = -5.130 eV/atom; ΔE_f = 84.4 kJ/mol of atoms; space group = Pm-3m; polymorph energy (0 for the lowest one) = 241 meV per atom
1.0
4.803 0.000 0.000
0.000 4.803 0.000
0.000 0.000 4.803
Be Nb P
1 1 3
Direct
0.000 0.000 0.000 Be
0.500 0.500 0.500 Nb
0.000 0.500 0.500 P
0.500 0.000 0.500 P
0.500 0.500 0.000 P



No. 6
LaNdFe, relaxed, DFT PBE; magnetization = 0.000 μB per cell; Fermi-level density of states = 11.9 states/eV/cell; DFT total energy = -5.904 eV/atom; ΔE_f = 14.3 kJ/mol of atoms; space group = Cmce
1.0
3.474 -6.596 0.000
3.474 6.596 0.000
0.000 0.000 7.001
La Nd Fe
4 4 4
Direct
0.200 0.800 0.858 La
0.300 0.700 0.358 La
0.700 0.300 0.642 La
0.800 0.200 0.142 La
0.219 0.281 0.750 Nd
0.281 0.219 0.250 Nd
0.719 0.781 0.750 Nd
0.781 0.719 0.250 Nd
0.118 0.882 0.559 Fe
0.382 0.618 0.059 Fe
0.618 0.382 0.941 Fe
0.882 0.118 0.441 Fe



No. 7
SrZrW, relaxed, DFT PBE; magnetization = 0.000 μB per cell; Fermi-level density of states = 3.5 states/eV/cell; DFT total energy = -6.948 eV/atom; ΔE_f = 75.2 kJ/mol of atoms; space group = Fmm2; polymorph energy (0 for the lowest one) = 107 meV per atom
1.0
0.000 2.510 7.987
1.842 0.000 7.987
1.842 2.510 0.000
Sr Zr W
1 1 1
Direct
0.000 0.000 0.000 Sr
0.290 0.290 0.710 Zr
0.665 0.665 0.335 W



No. 8
Ac2MgIn2Pd5, relaxed, DFT PBE; magnetization = 0.000 μB per cell; Fermi-level density of states = 9.9 states/eV/cell; DFT total energy = -4.660 eV/atom; ΔE_f = -51.6 kJ/mol of atoms; space group = P4/mbm
1.0
11.066 0.000 0.000
0.000 11.066 0.000
0.000 0.000 3.621
Ac Mg In Pd
4 2 4 10
Direct
0.173 0.327 0.000 Ac
0.327 0.827 0.000 Ac
0.673 0.173 0.000 Ac
0.827 0.673 0.000 Ac
0.000 0.000 0.000 Mg
0.500 0.500 0.000 Mg
0.128 0.628 0.000 In
0.372 0.128 0.000 In
0.628 0.872 0.000 In
0.872 0.372 0.000 In
0.000 0.500 0.500 Pd
0.049 0.806 0.500 Pd
0.194 0.049 0.500 Pd
0.306 0.549 0.500 Pd
0.451 0.306 0.500 Pd
0.500 0.000 0.500 Pd
0.549 0.694 0.500 Pd
0.694 0.451 0.500 Pd
0.806 0.951 0.500 Pd
0.951 0.194 0.500 Pd



Question: What is the DFT total energy in the eighth record?
Answer: -4.660 eV/atom



Question: Among the records above, which one has the highest DFT total energy?
Answer: Co2HgSeBr



Please write out number 3 again, unchanged.
Co2HgSeBr, relaxed, DFT PBE; magnetization = 4.020 μB per cell; Fermi-level density of states = 6.6 states/eV/cell; DFT total energy = -2.480 eV/atom; space group = P4/mmm; ΔE_f (raw) = 1.45 eV/atom
1.0
5.092 0.000 0.000
0.000 5.092 0.000
0.000 0.000 5.122
Co Hg Se Br
2 1 1 1
Direct
0.000 0.500 0.000 Co
0.500 0.000 0.000 Co
0.000 0.000 0.000 Hg
0.500 0.500 0.500 Se
0.000 0.000 0.500 Br